## YTc2Ge2C (GGA-PBE)

Data for a relaxed YTc2Ge2C crystal.

The structure in POSCAR format:
```
YTc2Ge2C
1.0
4.185 0.000 0.000
0.000 4.185 0.000
0.000 0.000 5.422
Y Tc Ge C
1 2 2 1
Cartesian
0.000 0.000 0.000
0.000 2.093 2.711
2.093 0.000 2.711
2.093 2.093 1.202
2.093 2.093 4.220
0.000 0.000 2.711
```

Output
DOS at the Fermi energy: 5.10 states/eV per cell
DFT formation energy: -0.341 eV/atom
space group: P4/mmm (123)

## Y2Tc2Ge2C (GGA-PBE)

Data for a relaxed Y2Tc2Ge2C crystal.

The structure in POSCAR format:
```
Y2Tc2Ge2C
1.0
5.504 -2.010 0.000
5.504 2.010 0.000
-4.135 0.000 5.675
Y Tc Ge C
2 2 2 1
Cartesian
-0.466 0.000 1.660
7.339 0.000 4.016
-0.494 0.000 5.187
7.368 0.000 0.489
2.565 0.000 1.811
4.308 0.000 3.865
5.504 0.000 0.000
```

Output
DOS at the Fermi energy: 4.30 states/eV per cell
DFT formation energy: -0.606 eV/atom
space group: C2/m (12)

## Y2TcGeC (GGA-PBE)

Data for a relaxed Y2TcGeC crystal.

The structure in POSCAR format:
```
Y2TcGeC
1.0
5.501 0.000 0.000
0.000 5.501 0.000
0.000 0.000 3.691
Y Tc Ge C
2 1 1 1
Cartesian
0.000 2.750 0.000
2.750 0.000 0.000
0.000 0.000 1.846
2.750 2.750 0.000
2.750 2.750 1.846
```

Output
DOS at the Fermi energy: 5.17 states/eV per cell
DFT formation energy: 1.078 eV/atom
polymorph energy (0 for the lowest one): 7.46 eV/f.u.
space group: P4/mmm (123)